No. 1
Entry from Alexandria: an optimized crystal structure of LaAl3ZnAu (PBE-GGA).

Summary:
Energy: -44.2 eV/cell
Density of states at the Fermi level: 6.003 states/eV per cell

Cell: 7.0002 7.0002 6.2331 Å, 90.00 90.00 124.70°
With the nearest neighbours (Å) after each atom.
Element x y z (fractional)
La1 0.2084 0.7916 0.7500  1 Zn 2.81
La2 0.7916 0.2084 0.2500  1 Zn 2.81
Al1 0.2104 0.2104 0.0000  2 Zn 2.57, 1 Al 2.73, 2 Au 2.74
Al2 0.2104 0.2104 0.5000  2 Zn 2.57, 1 Al 2.73, 2 Au 2.74
Al3 0.3578 0.6422 0.2500  1 Zn 2.57, 1 Au 2.65
Al4 0.6422 0.3578 0.7500  1 Zn 2.57, 1 Au 2.65
Al5 0.7896 0.7896 0.0000  2 Zn 2.57, 1 Al 2.73, 2 Au 2.74
Al6 0.7896 0.7896 0.5000  2 Zn 2.57, 1 Al 2.73, 2 Au 2.74
Zn1 0.4352 0.5648 0.7500  5 Al 2.57, 1 La 2.81
Zn2 0.5648 0.4352 0.2500  5 Al 2.57, 1 La 2.81
Au1 0.1445 0.8555 0.2500  5 Al 2.65-2.74
Au2 0.8555 0.1445 0.7500  5 Al 2.65-2.74



No. 2
Entry from Alexandria: an optimized crystal structure of La2Al4ZnAu3 (PBE-GGA).

Summary:
Energy: -42.9 eV/cell
Density of states at the Fermi level: 5.848 states/eV per cell

Cell: 4.4428 4.4428 10.5992 Å, 90.00 90.00 90.00°
With the nearest neighbours (Å) after each atom.
Element x y z (fractional)
La1 0.0000 0.5000 0.2455  8 Al 3.37-3.49, 6 Au 3.41-3.42, 2 Zn 3.42
La2 0.5000 0.0000 0.7545  8 Al 3.37-3.49, 6 Au 3.41-3.42, 2 Zn 3.42
Al1 0.0000 0.0000 0.5000  4 Au 2.61
Al2 0.0000 0.5000 0.8685  3 Au 2.54-2.62, 2 Zn 2.62
Al3 0.5000 0.0000 0.1315  3 Au 2.54-2.62, 2 Zn 2.62
Al4 0.5000 0.5000 0.5000  4 Au 2.61
Zn1 0.5000 0.5000 0.0000  4 Al 2.62
Au1 0.0000 0.0000 0.0000  4 Al 2.62
Au2 0.0000 0.5000 0.6286  5 Al 2.54-2.61
Au3 0.5000 0.0000 0.3714  5 Al 2.54-2.61



No. 3
Entry from Alexandria: an optimized crystal structure of LiAlAu (PBE-GGA).

Summary:
Energy: -10.2 eV/cell
Density of states at the Fermi level: 1.262 states/eV per cell

Cell: 4.4202 4.4202 2.9938 Å, 90.00 90.00 120.00°
With the nearest neighbours (Å) after each atom.
Element x y z (fractional)
Li1 0.0000 0.0000 0.0000  6 Al 2.95-2.96, 6 Au 2.96, 2 Li 2.99
Al1 0.6667 0.3333 0.4966  3 Au 2.55
Au1 0.3333 0.6667 0.5020  3 Al 2.55



No. 4
Entry from Alexandria: an optimized crystal structure of LiAl2Au7 (PBE-GGA).

Summary:
Energy: -35.7 eV/cell
Excess energy over the best structure of this formula in the dataset: 0.0 meV per atom
Density of states at the Fermi level: 2.667 states/eV per cell

Cell: 10.4430 10.4430 10.4430 Å, 156.42 156.42 33.59°
With the nearest neighbours (Å) after each atom.
Element x y z (fractional)
Li1 0.0000 0.0000 0.0000  12 Au 2.89-3.02
Al1 0.3280 0.3280 0.0000  8 Au 2.61-2.64
Al2 0.6720 0.6720 0.0000  8 Au 2.61-2.64
Au1 0.0972 0.5972 0.5000  2 Al 2.61, 2 Li 2.89, 2 Au 2.89
Au2 0.2500 0.7500 0.5000  4 Al 2.64
Au3 0.4028 0.9028 0.5000  2 Al 2.61, 2 Li 2.89, 2 Au 2.89
Au4 0.5000 0.5000 0.0000  8 Au 2.89, 4 Li 3.02
Au5 0.5972 0.0972 0.5000  2 Al 2.61, 2 Li 2.89, 2 Au 2.89
Au6 0.7500 0.2500 0.5000  4 Al 2.64
Au7 0.9028 0.4028 0.5000  2 Al 2.61, 2 Li 2.89, 2 Au 2.89



No. 5
Entry from Alexandria: an optimized crystal structure of LiAl2Au (PBE-GGA).

Summary:
Energy: -13.1 eV/cell
Density of states at the Fermi level: 3.328 states/eV per cell

Cell: 8.8727 8.8727 8.8727 Å, 19.87 19.87 19.87°
With the nearest neighbours (Å) after each atom.
Element x y z (fractional)
Li1 0.0000 0.0000 0.0000  6 Al 2.88, 6 Li 3.06
Al1 0.2464 0.2464 0.2464  3 Au 2.73, 3 Li 2.88
Al2 0.7536 0.7536 0.7536  3 Au 2.73, 3 Li 2.88
Au1 0.5000 0.5000 0.5000  6 Al 2.73



No. 6
Entry from Alexandria: an optimized crystal structure of LiAl3Au4 (PBE-GGA).

Summary:
Energy: -29.7 eV/cell
Density of states at the Fermi level: 0.983 states/eV per cell

Cell: 7.2461 7.2461 7.2461 Å, 144.33 144.33 51.34°
With the nearest neighbours (Å) after each atom.
Element x y z (fractional)
Li1 0.0000 0.0000 0.0000  8 Au 2.75
Al1 0.2488 0.2488 0.0000  8 Au 2.75-2.77
Al2 0.5000 0.5000 0.0000  8 Au 2.75
Al3 0.7512 0.7512 0.0000  8 Au 2.75-2.77
Au1 0.1246 0.6246 0.5000  6 Al 2.75-2.77, 2 Li 2.75
Au2 0.3754 0.8754 0.5000  6 Al 2.75-2.77, 2 Li 2.75
Au3 0.6246 0.1246 0.5000  6 Al 2.75-2.77, 2 Li 2.75
Au4 0.8754 0.3754 0.5000  6 Al 2.75-2.77, 2 Li 2.75



No. 7
Entry from Alexandria: an optimized crystal structure of Li4AlAu5 (PBE-GGA).

Summary:
Energy: -31.4 eV/cell
Excess energy over the best structure of this formula in the dataset: 159.2 meV per atom
Density of states at the Fermi level: 2.554 states/eV per cell

Cell: 6.2748 6.2748 6.2748 Å, 99.29 99.29 132.63°
With the nearest neighbours (Å) after each atom.
Element x y z (fractional)
Li1 0.1407 0.7546 0.8953  4 Au 2.46-2.66
Li2 0.2454 0.1407 0.3861  4 Au 2.46-2.66
Li3 0.7546 0.8593 0.6139  4 Au 2.46-2.66
Li4 0.8593 0.2454 0.1047  4 Au 2.46-2.66
Al1 0.3162 0.3162 0.0000  2 Au 2.47-2.57
Au1 0.1621 0.4422 0.6273  3 Li 2.46-2.66
Au2 0.4422 0.8148 0.2800  3 Li 2.46-2.66
Au3 0.5348 0.1621 0.7200  3 Li 2.46-2.66
Au4 0.8062 0.8062 0.0000  2 Al 2.47-2.57, 4 Li 2.50
Au5 0.8148 0.5348 0.3727  3 Li 2.46-2.66



No. 8
Entry from Alexandria: an optimized crystal structure of LiAl3Au5 (PBE-GGA).

Summary:
Energy: -65.5 eV/cell
Density of states at the Fermi level: 4.919 states/eV per cell

Cell: 7.8840 7.8840 5.6033 Å, 90.00 90.00 120.00°
With the nearest neighbours (Å) after each atom.
Element x y z (fractional)
Li1 0.0000 0.0000 0.0000  2 Li 2.80, 6 Au 2.85, 6 Al 3.03
Li2 0.0000 0.0000 0.5000  2 Li 2.80, 6 Au 2.85, 6 Al 3.03
Al1 0.0000 0.3401 0.2500  5 Au 2.59-2.81
Al2 0.0000 0.6599 0.7500  5 Au 2.59-2.81
Al3 0.3401 0.0000 0.2500  5 Au 2.59-2.81
Al4 0.3401 0.3401 0.7500  5 Au 2.59-2.81
Al5 0.6599 0.0000 0.7500  5 Au 2.59-2.81
Al6 0.6599 0.6599 0.2500  5 Au 2.59-2.81
Au1 0.0000 0.3143 0.7500  5 Al 2.59-2.81, 2 Li 2.85
Au2 0.0000 0.6857 0.2500  5 Al 2.59-2.81, 2 Li 2.85
Au3 0.3143 0.0000 0.7500  5 Al 2.59-2.81, 2 Li 2.85
Au4 0.3143 0.3143 0.2500  5 Al 2.59-2.81, 2 Li 2.85
Au5 0.3333 0.6667 0.0000  8 Au 2.80-3.05, 6 Al 2.95
Au6 0.3333 0.6667 0.5000  8 Au 2.80-3.05, 6 Al 2.95
Au7 0.6667 0.3333 0.0000  8 Au 2.80-3.05, 6 Al 2.95
Au8 0.6667 0.3333 0.5000  8 Au 2.80-3.05, 6 Al 2.95
Au9 0.6857 0.0000 0.2500  5 Al 2.59-2.81, 2 Li 2.85
Au10 0.6857 0.6857 0.7500  5 Al 2.59-2.81, 2 Li 2.85



No. 9
Entry from Alexandria: an optimized crystal structure of Li2Al3Au4 (PBE-GGA).

Summary:
Energy: -64.5 eV/cell
Excess energy over the best structure of this formula in the dataset: 7.6 meV per atom
Density of states at the Fermi level: 6.111 states/eV per cell

Cell: 8.2020 8.2020 7.2686 Å, 90.00 90.00 138.33°
With the nearest neighbours (Å) after each atom.
Element x y z (fractional)
Li1 0.0923 0.9077 0.8976  7 Au 2.94-3.21, 3 Al 3.16-3.22, 1 Li 3.20
Li2 0.4077 0.5923 0.3976  7 Au 2.94-3.21, 3 Al 3.16-3.22, 1 Li 3.20
Li3 0.5923 0.4077 0.6024  7 Au 2.94-3.21, 3 Al 3.16-3.22, 1 Li 3.20
Li4 0.9077 0.0923 0.1024  7 Au 2.94-3.21, 3 Al 3.16-3.22, 1 Li 3.20
Al1 0.0000 0.0000 0.5000  6 Au 2.54-2.67
Al2 0.0111 0.4889 0.7500  5 Au 2.54-2.70
Al3 0.4889 0.0111 0.2500  5 Au 2.54-2.70
Al4 0.5000 0.5000 0.0000  6 Au 2.54-2.67
Al5 0.5111 0.9889 0.7500  5 Au 2.54-2.70
Al6 0.9889 0.5111 0.2500  5 Au 2.54-2.70
Au1 0.1735 0.8265 0.5307  5 Al 2.54-2.70
Au2 0.1844 0.3156 0.7500  3 Al 2.54-2.66
Au3 0.3156 0.1844 0.2500  3 Al 2.54-2.66
Au4 0.3265 0.6735 0.0307  5 Al 2.54-2.70
Au5 0.6735 0.3265 0.9693  5 Al 2.54-2.70
Au6 0.6844 0.8156 0.7500  3 Al 2.54-2.66
Au7 0.8156 0.6844 0.2500  3 Al 2.54-2.66
Au8 0.8265 0.1735 0.4693  5 Al 2.54-2.70



No. 10
Entry from Alexandria: an optimized crystal structure of LiAl2Au2 (PBE-GGA).

Summary:
Energy: -35.9 eV/cell
Excess energy over the best structure of this formula in the dataset: 84.8 meV per atom
Density of states at the Fermi level: 2.249 states/eV per cell

Cell: 7.5072 7.5072 3.0651 Å, 90.00 90.00 90.00°
With the nearest neighbours (Å) after each atom.
Element x y z (fractional)
Li1 0.0000 0.0000 0.0000  4 Au 2.87, 2 Li 3.07
Li2 0.5000 0.5000 0.0000  4 Au 2.87, 2 Li 3.07
Al1 0.1530 0.3470 0.5000  6 Au 2.62-2.72
Al2 0.3470 0.8470 0.5000  6 Au 2.62-2.72
Al3 0.6530 0.1530 0.5000  6 Au 2.62-2.72
Al4 0.8470 0.6530 0.5000  6 Au 2.62-2.72
Au1 0.1469 0.6469 0.0000  6 Al 2.62-2.72, 2 Li 2.87
Au2 0.3531 0.1469 0.0000  6 Al 2.62-2.72, 2 Li 2.87
Au3 0.6469 0.8531 0.0000  6 Al 2.62-2.72, 2 Li 2.87
Au4 0.8531 0.3531 0.0000  6 Al 2.62-2.72, 2 Li 2.87



No. 11
Entry from Alexandria: an optimized crystal structure of LiAlAu5 (PBE-GGA).

Summary:
Energy: -23.7 eV/cell
Density of states at the Fermi level: 1.923 states/eV per cell

Cell: 4.7826 4.7826 5.9373 Å, 90.00 90.00 109.00°
With the nearest neighbours (Å) after each atom.
Element x y z (fractional)
Li1 0.0000 0.0000 0.0000  10 Au 2.77-2.97
Al1 0.5000 0.5000 0.5000  10 Au 2.78-2.86
Au1 0.0000 0.0000 0.5000  2 Al 2.78, 8 Au 2.86, 2 Li 2.97
Au2 0.0000 0.5000 0.2359  2 Li 2.77, 5 Au 2.78-2.86, 2 Al 2.86
Au3 0.0000 0.5000 0.7641  2 Li 2.77, 5 Au 2.78-2.86, 2 Al 2.86
Au4 0.5000 0.0000 0.2359  2 Li 2.77, 5 Au 2.78-2.86, 2 Al 2.86
Au5 0.5000 0.0000 0.7641  2 Li 2.77, 5 Au 2.78-2.86, 2 Al 2.86



No. 12
Entry from Alexandria: an optimized crystal structure of LiAlAu3 (PBE-GGA).

Summary:
Energy: -35.3 eV/cell
Excess energy over the best structure of this formula in the dataset: 24.9 meV per atom
Density of states at the Fermi level: 2.074 states/eV per cell

Cell: 5.0558 5.1996 7.3245 Å, 80.56 70.28 64.86°
With the nearest neighbours (Å) after each atom.
Element x y z (fractional)
Li1 0.0000 0.0000 0.0000  9 Au 2.74-3.05, 2 Al 2.92-2.94
Li2 0.2963 0.4742 0.4459  7 Au 2.60-2.85
Al1 0.4069 0.9677 0.2150  8 Au 2.64-2.92, 2 Li 2.92-2.94
Al2 0.6621 0.5189 0.6677  9 Au 2.70-2.93, 2 Li 2.94-2.99
Au1 0.0821 0.5061 0.8221  3 Li 2.60-2.88, 2 Al 2.70-2.79, 2 Au 2.74-2.77
Au2 0.1790 0.0081 0.5996  3 Al 2.67-2.80, 3 Li 2.71-2.92, 4 Au 2.90-2.98
Au3 0.4652 0.4942 0.0636  3 Li 2.64-2.79, 3 Al 2.73-2.88, 2 Au 2.89-2.91
Au4 0.5758 0.0101 0.8332  3 Al 2.64-2.87, 3 Au 2.74-2.95, 2 Li 2.77-2.78
Au5 0.8023 0.9563 0.3961  3 Al 2.72-2.93, 3 Li 2.74-2.79, 5 Au 2.75-3.03
Au6 0.8854 0.4519 0.2679  3 Al 2.73-2.82, 4 Au 2.75-2.91, 3 Li 2.78-3.05



| no. | DFT formation energy (eV/atom) |
| --- | --- |
| 1 | -0.23 |
| 2 | -0.70 |
| 3 | -0.42 |
| 4 | -0.33 |
| 5 | -0.10 |
| 6 | -0.43 |
| 7 | -0.36 |
| 8 | -0.36 |
| 9 | -0.45 |
| 10 | -0.40 |
| 11 | -0.24 |
| 12 | -0.43 |